Record 1
## ScVInS2 (GGA-PBE)

Data for a relaxed structure of ScVInS2.

Cell lengths 5.0679, 5.0679, 5.3880 Å; angles 90.00, 90.00, 90.00 degrees
With the nearest neighbours (Å) after each atom.
Element x y z (fractional)
Sc: 0.0000 0.0000 0.0000  4 V 3.58, 8 S 3.70
V: 0.5000 0.5000 0.0000  2 In 2.69
In: 0.5000 0.5000 0.5000  4 S 2.53, 2 V 2.69
S: 0.0000 0.5000 0.5000  2 In 2.53
S: 0.5000 0.0000 0.5000  2 In 2.53

## Properties
Formation energy from raw total energies   3.71 eV per formula unit
Raw total energy   -4.55 eV per atom
Fermi-level density of states   6.0 states/eV per cell

***

Record 2
## GdHoHgSb (GGA-PBE)

Data for a relaxed structure of GdHoHgSb.

Cell lengths 7.5198, 7.5198, 7.5198 Å; angles 90.00, 90.00, 90.00 degrees
With the nearest neighbours (Å) after each atom.
Element x y z (fractional)
Gd: 0.0000 0.0000 0.0000  4 Hg 3.26, 4 Sb 3.26
Gd: 0.0000 0.5000 0.5000  4 Hg 3.26, 4 Sb 3.26
Gd: 0.5000 0.0000 0.5000  4 Hg 3.26, 4 Sb 3.26
Gd: 0.5000 0.5000 0.0000  4 Hg 3.26, 4 Sb 3.26
Ho: 0.0000 0.0000 0.5000  4 Sb 3.26, 4 Hg 3.26
Ho: 0.0000 0.5000 0.0000  4 Sb 3.26, 4 Hg 3.26
Ho: 0.5000 0.0000 0.0000  4 Sb 3.26, 4 Hg 3.26
Ho: 0.5000 0.5000 0.5000  4 Sb 3.26, 4 Hg 3.26
Hg: 0.2500 0.2500 0.7500  4 Ho 3.26, 4 Gd 3.26
Hg: 0.2500 0.7500 0.2500  4 Ho 3.26, 4 Gd 3.26
Hg: 0.7500 0.2500 0.2500  4 Ho 3.26, 4 Gd 3.26
Hg: 0.7500 0.7500 0.7500  4 Ho 3.26, 4 Gd 3.26
Sb: 0.2500 0.2500 0.2500  4 Gd 3.26, 4 Ho 3.26
Sb: 0.2500 0.7500 0.7500  4 Gd 3.26, 4 Ho 3.26
Sb: 0.7500 0.2500 0.7500  4 Gd 3.26, 4 Ho 3.26
Sb: 0.7500 0.7500 0.2500  4 Gd 3.26, 4 Ho 3.26

## Properties
Formation energy from raw total energies   -2.50 eV per formula unit
Raw total energy   -6.40 eV per atom
Fermi-level density of states   15.1 states/eV per cell

***

Record 3
## CeYHoMg (GGA-PBE)

Data for a relaxed structure of CeYHoMg.

Cell lengths 7.7849, 7.7849, 7.7849 Å; angles 90.00, 90.00, 90.00 degrees
With the nearest neighbours (Å) after each atom.
Element x y z (fractional)
Ce: 0.0000 0.0000 0.0000  4 Ho 3.37, 4 Mg 3.37
Ce: 0.0000 0.5000 0.5000  4 Ho 3.37, 4 Mg 3.37
Ce: 0.5000 0.0000 0.5000  4 Ho 3.37, 4 Mg 3.37
Ce: 0.5000 0.5000 0.0000  4 Ho 3.37, 4 Mg 3.37
Y: 0.0000 0.0000 0.5000  4 Mg 3.37, 4 Ho 3.37
Y: 0.0000 0.5000 0.0000  4 Mg 3.37, 4 Ho 3.37
Y: 0.5000 0.0000 0.0000  4 Mg 3.37, 4 Ho 3.37
Y: 0.5000 0.5000 0.5000  4 Mg 3.37, 4 Ho 3.37
Ho: 0.2500 0.2500 0.2500  4 Ce 3.37, 4 Y 3.37
Ho: 0.2500 0.7500 0.7500  4 Ce 3.37, 4 Y 3.37
Ho: 0.7500 0.2500 0.7500  4 Ce 3.37, 4 Y 3.37
Ho: 0.7500 0.7500 0.2500  4 Ce 3.37, 4 Y 3.37
Mg: 0.2500 0.2500 0.7500  4 Ce 3.37, 4 Y 3.37
Mg: 0.2500 0.7500 0.2500  4 Ce 3.37, 4 Y 3.37
Mg: 0.7500 0.2500 0.2500  4 Ce 3.37, 4 Y 3.37
Mg: 0.7500 0.7500 0.7500  4 Y 3.37, 4 Ce 3.37

## Properties
Raw total energy   -4.56 eV per atom
Calculated formation energy   86 meV/atom
Fermi-level density of states   29.1 states/eV per cell

***

Record 4
## Ac2CePrSe4 (GGA-PBE)

Data for a relaxed structure of Ac2CePrSe4.

Cell lengths 7.5325, 4.3294, 7.5765 Å; angles 90.00, 109.23, 90.00 degrees
With the nearest neighbours (Å) after each atom.
Element x y z (fractional)
Ac: 0.0000 0.0000 0.0000  6 Se 3.13
Ac: 0.5000 0.5000 0.0000  6 Se 3.15
Ce: 0.0000 0.5000 0.5000  6 Se 3.01
Pr: 0.5000 0.0000 0.5000  6 Se 3.03
Se: 0.2428 0.0000 0.7349  2 Ce 3.01, 1 Pr 3.03, 3 Ac 3.13-3.15
Se: 0.2523 0.5000 0.2636  1 Ce 3.01, 2 Pr 3.03, 3 Ac 3.13-3.15
Se: 0.7477 0.5000 0.7364  1 Ce 3.01, 2 Pr 3.03, 3 Ac 3.13-3.15
Se: 0.7572 0.0000 0.2651  2 Ce 3.01, 1 Pr 3.03, 3 Ac 3.13-3.15

## Properties
Formation energy from raw total energies   -14.74 eV per formula unit
Raw total energy   -5.95 eV per atom
Fermi-level density of states   9.5 states/eV per cell